PmNd12Y3 | PBE-GGA | optimized geometry

The space group is P4/mmm (No. 123) and the conventional cell measures 5.1775, 5.1775 and 20.6555 Å, with angles of 90.00, 90.00 and 90.00 degrees. The asymmetric unit holds Pm at (0.0000, 0.0000, 0.0000), Nd at (0.0000, 0.5000, 0.1258), Nd at (0.0000, 0.5000, 0.3753), Nd at (0.5000, 0.5000, 0.0000), Nd at (0.5000, 0.5000, 0.2510), Nd at (0.5000, 0.5000, 0.5000), Y at (0.0000, 0.0000, 0.2508) and Y at (0.0000, 0.0000, 0.5000).

The calculation puts the magnetic moment at 0.0 μB/f.u. For the formation energy, the calculation gives 0.012 eV per atom. The calculation puts the calculated total energy at -81.167 eV per cell.